#a
Material: K4Rb5O
Method: DFT, PBE
State: optimized geometry

Lattice parameters (Å, degrees): 13.7034 13.7034 7.2583 90.00 90.00 90.00
Closest atoms and distances in Å follow each position.
Space group I4 (No. 79)
One atom of each set of equivalent atoms:
K (0.0006, 0.3422, 0.0000)  5 K 4.32-4.75, 1 Rb 4.72
Rb (0.0000, 0.0000, 0.0700)  1 O 2.65
Rb (0.1391, 0.1395, 0.5027)  1 O 2.74
O (0.0000, 0.0000, 0.4356)  5 Rb 2.65-2.74

## Properties
Total magnetization = 0.00 μB per formula unit


#b
Material: K4Rb5O
Method: DFT, PBE
State: optimized geometry

Lattice parameters (Å, degrees): 11.6683 11.6683 15.7170 90.00 90.00 90.00
Closest atoms and distances in Å follow each position.
Space group I4 (No. 79)
One atom of each set of equivalent atoms:
K (0.0446, 0.6966, 0.0000)  4 Rb 4.42-4.86, 1 K 4.71
Rb (0.0000, 0.0000, 0.8348)  1 O 2.61
Rb (0.0860, 0.7875, 0.6376)  1 O 2.72
O (0.0000, 0.0000, 0.6686)  5 Rb 2.61-2.72

## Properties
Total magnetization = 0.00 μB per formula unit


Going by the computed energies, the most stable comes first: #a, #b.